Record 1
A plane-wave DFT calculation with PBE-GGA was carried out for crystalline Mg3Sc2 at its relaxed geometry.

## Properties
Energy of formation from the pure elements in eV/atom: 0.24
Excess energy over the best structure of this formula in the dataset in meV/atom: 215
SG: No. 164
Final energy in eV for the cell shown: -16.23

Cell lengths 5.023, 5.023, 6.232 Å; angles 90.00, 90.00, 120.00 degrees
Atoms (fractional coordinates):
Mg 0.000 0.000 0.000
Mg 0.667 0.333 0.649
Mg 0.333 0.667 0.351
Sc 0.667 0.333 0.138
Sc 0.333 0.667 0.862

***

Record 2
A plane-wave DFT calculation with PBE-GGA was carried out for crystalline Mg6Sc5 at its relaxed geometry.

## Properties
Energy of formation from the pure elements in eV/atom: 0.06
SG: No. 2
Final energy in eV for the cell shown: -40.61

Cell lengths 5.019, 7.244, 8.581 Å; angles 115.08, 106.88, 90.00 degrees
Atoms (fractional coordinates):
Mg 0.500 0.787 0.000
Mg 0.500 0.213 0.000
Mg 0.853 0.066 0.707
Mg 0.854 0.643 0.709
Mg 0.147 0.934 0.293
Mg 0.146 0.357 0.291
Sc 0.000 0.500 0.000
Sc 0.661 0.660 0.321
Sc 0.339 0.340 0.679
Sc 0.299 0.799 0.599
Sc 0.701 0.201 0.401

***

Record 3
A plane-wave DFT calculation with PBE-GGA was carried out for crystalline Mg4Sc at its relaxed geometry.

## Properties
Energy of formation from the pure elements in eV/atom: 0.18
Excess energy over the best structure of this formula in the dataset in meV/atom: 196
SG: No. 139
Final energy in eV for the cell shown: -11.83

Cell lengths 7.683, 7.683, 7.683 Å; angles 148.68, 148.68, 44.88 degrees
Atoms (fractional coordinates):
Mg 0.750 0.250 0.500
Mg 0.250 0.750 0.500
Mg 0.597 0.597 0.000
Mg 0.403 0.403 0.000
Sc 0.000 0.000 0.000

***

Record 4
A plane-wave DFT calculation with PBE-GGA was carried out for crystalline Mg4Sc at its relaxed geometry.

## Properties
Energy of formation from the pure elements in eV/atom: 0.59
Excess energy over the best structure of this formula in the dataset in meV/atom: 609
SG: No. 229
Final energy in eV for the cell shown: -9.76

Cell lengths 6.021, 6.021, 6.021 Å; angles 109.47, 109.47, 109.47 degrees
Atoms (fractional coordinates):
Mg 0.500 0.000 0.000
Mg 0.500 0.500 0.500
Mg 0.000 0.500 0.000
Mg 0.000 0.000 0.500
Sc 0.000 0.000 0.000